A plane-wave DFT calculation with PBE-GGA was carried out for a relaxed HgIBr4 crystal.

ΔE_f (raw) (eV per atom): -0.20
Space group: C2/c
N(E_F) (states/eV per cell): 1.51
Magnetic moment (μB per cell): 0.00

Cell: 8.636 8.615 8.927 Å, 61.15 76.97 62.14°
Fractional coordinates of all 12 atoms:
Br 0.173 0.592 0.989
Br 0.546 0.721 0.556
Br 0.454 0.279 0.444
Br 0.827 0.408 0.011
Br 0.954 0.223 0.556
Br 0.673 0.081 0.011
Br 0.327 0.919 0.989
Br 0.046 0.777 0.444
I 0.750 0.744 0.013
I 0.250 0.256 0.987
Hg 0.250 0.973 0.554
Hg 0.750 0.027 0.446


A plane-wave DFT calculation with PBE-GGA was carried out for a relaxed MgCdF4 crystal.

ΔE_f (raw) (eV per atom): -2.85
Space group: Cmmm
N(E_F) (states/eV per cell): 0.00
Magnetic moment (μB per cell): 0.00

Cell: 3.294 4.991 4.991 Å, 89.83 90.00 90.00°
Fractional coordinates of all 6 atoms:
F 0.000 0.679 0.679
F 0.000 0.321 0.321
F 0.500 0.782 0.218
F 0.500 0.218 0.782
Cd 0.000 0.000 0.000
Mg 0.500 0.500 0.500


A plane-wave DFT calculation with PBE-GGA was carried out for a relaxed TmGaNiPt crystal.

ΔE_f (eV/atom): -0.713
Space group: F-43m
N(E_F) (states/eV per cell): 3.05
Magnetic moment (μB per cell): 0.00

Cell: 4.549 4.549 4.549 Å, 60.00 60.00 60.00°
Fractional coordinates of all 4 atoms:
Tm 0.000 0.000 0.000
Pt 0.750 0.750 0.750
Ga 0.500 0.500 0.500
Ni 0.250 0.250 0.250


A plane-wave DFT calculation with PBE-GGA was carried out for a relaxed HfMg2PbO6 crystal.

ΔE_f (raw) (eV per atom): -2.39
Space group: R3
N(E_F) (states/eV per cell): 0.00
Magnetic moment (μB per cell): 0.00

Cell: 5.378 5.378 5.736 Å, 62.04 62.04 60.00°
Fractional coordinates of all 10 atoms:
O 0.421 0.725 0.745
O 0.108 0.421 0.745
O 0.725 0.108 0.745
O 0.630 0.214 0.256
O 0.901 0.630 0.255
O 0.214 0.901 0.255
Pb 0.309 0.309 0.073
Mg 0.520 0.520 0.440
Mg 0.022 0.022 0.933
Hf 0.811 0.811 0.567


A plane-wave DFT calculation with PBE-GGA was carried out for a relaxed LaIrBr2 crystal.

ΔE_f (raw) (eV per atom): -0.39
Space group: P4/mmm
Polymorph energy (0 for the lowest one) (eV/f.u.): 1.89
N(E_F) (states/eV per cell): 1.88
Magnetic moment (μB per cell): 0.00

Cell: 4.604 4.604 4.247 Å, 90.00 90.00 90.00°
Fractional coordinates of all 4 atoms:
Ir 0.500 0.000 0.500
Br 0.000 0.000 0.000
Br 0.500 0.500 0.000
La 0.000 0.500 0.500


A plane-wave DFT calculation with PBE-GGA was carried out for a relaxed Na2NpAuSe4 crystal.

ΔE_f (raw) (eV per atom): -0.70
Space group: I-42m
N(E_F) (states/eV per cell): 8.49
Magnetic moment (μB per cell): 2.16

Cell: 6.826 6.219 6.219 Å, 72.47 56.71 56.71°
Site moments in Bohr magnetons follow the coordinates.
Fractional coordinates of all 8 atoms:
Se 0.061 0.403 0.000  -0.18
Se 0.939 0.000 0.597  -0.18
Se 0.464 0.597 0.000  -0.18
Se 0.536 0.000 0.403  -0.18
Au 0.500 0.000 0.000  -0.16
Na 0.500 0.500 0.500  0.00
Na 0.000 0.500 0.500  0.00
Np 0.000 0.000 0.000  3.29


Table of total energy (eV/cell), in record order: -19.525, -27.066, -22.174, -70.480, -18.689, -38.422